1.
The following is a DFT calculation (PBE) of Ba2In4Pb5 after structural relaxation.

As for the crystal system: monoclinic. The formation enthalpy at 0 K is -2.244 eV per formula unit.

The structure in extended XYZ format:
```
11
Lattice="7.043 0.000 0.000 3.521 7.903 -0.866 3.521 1.070 6.596" Properties=species:S:1:pos:R:3 pbc="T T T"
Ba 7.043 6.768 3.637
Ba 7.043 2.205 2.094
In 3.521 1.286 1.801
In 10.564 7.686 3.929
In 10.564 5.342 5.905
In 3.521 3.631 -0.174
Pb 5.155 2.364 5.307
Pb 8.931 6.608 0.423
Pb 3.521 4.486 2.865
Pb 8.931 2.364 5.307
Pb 5.155 6.608 0.423
```



2.
The following is a DFT calculation (PBE) of BaIn2Pb after structural relaxation.

As for the crystal system: monoclinic. The formation enthalpy at 0 K is -1.261 eV per formula unit.

The structure in extended XYZ format:
```
4
Lattice="-1.992 4.342 -2.398 0.156 1.124 -5.223 -5.704 -1.584 -2.533" Properties=species:S:1:pos:R:3 pbc="T T T"
Pb -4.156 1.754 -5.157
Ba -1.849 1.004 -2.550
In -5.227 -1.353 -2.434
In -5.782 2.833 -7.622
```



3.
The following is a DFT calculation (PBE) of BaInPb2 after structural relaxation.

As for the crystal system: tetragonal. The formation enthalpy at 0 K is -1.138 eV per formula unit.

The structure in extended XYZ format:
```
4
Lattice="-4.070 -4.758 1.072 2.906 -4.965 2.694 -0.128 6.203 1.362" Properties=species:S:1:pos:R:3 pbc="T T T"
Ba -2.390 -1.708 2.158
In 1.098 -1.812 2.969
Pb -1.164 -9.724 3.766
Pb -0.582 -4.862 1.883
```